[1]
This record from the Alexandria database describes LiCaPd after structural relaxation. The functional is PBE.

Cell lengths 5.488, 5.876, 5.876 Å; angles 69.59, 62.03, 62.03 degrees
Positions (direct):
Ca 0.961 0.768 0.955
Ca 0.461 0.268 0.455
Li 0.711 0.594 0.629
Li 0.211 0.942 0.281
Pd 0.961 0.268 0.955
Pd 0.461 0.268 0.955

Fermi-level density of states ... 1.37 states/eV/f.u.
Symmetry ... C2/c, No. 15
ΔH_f (0 K) ... -1.09 eV per formula unit
Theoretical density ... 3.50 g/cm3
Distance to the lowest polymorph of the same formula ... 105.6 meV per atom

***

[2]
This record from the Alexandria database describes TlPOs2 after structural relaxation. The functional is PBE.

Cell lengths 4.805, 4.805, 4.805 Å; angles 128.81, 128.81, 75.32 degrees
Positions (direct):
P 0.500 0.500 0.000
Os 0.000 0.000 0.000
Os 0.250 0.750 0.500
Tl 0.750 0.250 0.500

Fermi-level density of states ... 4.65 states/eV/f.u.
Symmetry ... I-4m2, No. 119
ΔH_f (0 K) ... 4.50 eV per formula unit
Theoretical density ... 15.60 g/cm3
Distance to the lowest polymorph of the same formula ... 730.6 meV per atom

***

[3]
This record from the Alexandria database describes AcCdH8Pt2 after structural relaxation. The functional is PBE.

Cell lengths 3.841, 3.841, 9.184 Å; angles 79.23, 79.23, 80.65 degrees
Positions (direct):
Pt 0.382 0.382 0.760
Pt 0.618 0.618 0.240
H 0.376 0.376 0.577
H 0.625 0.625 0.059
H 0.151 0.612 0.250
H 0.375 0.375 0.941
H 0.624 0.624 0.423
H 0.849 0.388 0.750
H 0.388 0.849 0.750
H 0.612 0.151 0.250
Ac 0.000 0.000 0.500
Cd 0.000 0.000 0.000

Fermi-level density of states ... 1.79 states/eV/f.u.
Symmetry ... C2/m, No. 12
Theoretical density ... 9.45 g/cm3
Total DFT energy (no corrections) ... -3.84 eV per atom

***

[4]
This record from the Alexandria database describes ZnGa3Pd after structural relaxation. The functional is PBE.

Cell lengths 4.843, 4.843, 4.843 Å; angles 90.00, 90.00, 90.00 degrees
Positions (direct):
Ga 0.000 0.500 0.000
Ga 0.000 0.000 0.500
Ga 0.500 0.000 0.000
Zn 0.500 0.500 0.500
Pd 0.000 0.000 0.000

Fermi-level density of states ... 1.84 states/eV/f.u.
Symmetry ... Pm-3m, No. 221
ΔH_f (0 K) ... 0.07 eV per formula unit
Theoretical density ... 5.57 g/cm3
Distance to the lowest polymorph of the same formula ... 216.8 meV per atom

***

[5]
This record from the Alexandria database describes CrOs3Pt after structural relaxation. The functional is PBE.

Cell lengths 4.701, 4.701, 4.701 Å; angles 90.00, 90.00, 90.00 degrees
Positions (direct):
Pt 0.000 0.000 0.000
Os 0.000 0.500 0.000
Os 0.000 0.000 0.500
Os 0.500 0.000 0.000
Cr 0.500 0.500 0.500

Fermi-level density of states ... 10.84 states/eV/f.u.
Symmetry ... Pm-3m, No. 221
ΔH_f (0 K) ... 14.86 eV per formula unit
Theoretical density ... 13.07 g/cm3

***

- What is the theoretical density in the fourth record?
  5.57 g/cm3

***

- What is the theoretical density in the fifth record?
  13.07 g/cm3